{"formula": "Hf2P", "functional": "GGA-PBEsol", "state": "optimized geometry", "lattice": [[3.557, 0.000, 0.000], [0.000, 12.135, 0.000], [0.000, 0.000, 14.903]], "species": ["Hf", "Hf", "Hf", "Hf", "P", "Hf", "P", "P", "Hf", "P", "Hf", "P", "P", "Hf", "Hf", "P", "Hf", "Hf", "P", "Hf", "Hf", "Hf", "Hf", "Hf", "P", "P", "Hf", "Hf", "Hf", "Hf", "Hf", "Hf", "Hf", "P", "Hf", "P"], "frac_coords": [[0.000, 0.474, 0.894], [0.500, 0.026, 0.394], [0.500, 0.087, 0.924], [0.000, 0.903, 0.246], [0.500, 0.942, 0.789], [0.000, 0.188, 0.291], [0.000, 0.558, 0.289], [0.000, 0.313, 0.150], [0.500, 0.312, 0.791], [0.000, 0.442, 0.711], [0.000, 0.883, 0.916], [0.500, 0.255, 0.410], [0.500, 0.813, 0.350], [0.000, 0.117, 0.084], [0.500, 0.688, 0.209], [0.500, 0.745, 0.590], [0.500, 0.660, 0.978], [0.000, 0.526, 0.106], [0.500, 0.058, 0.211], [0.500, 0.913, 0.076], [0.500, 0.617, 0.416], [0.000, 0.413, 0.424], [0.500, 0.974, 0.606], [0.500, 0.383, 0.584], [0.500, 0.187, 0.650], [0.000, 0.245, 0.910], [0.000, 0.097, 0.754], [0.000, 0.160, 0.522], [0.000, 0.587, 0.576], [0.500, 0.403, 0.254], [0.500, 0.340, 0.022], [0.000, 0.812, 0.709], [0.000, 0.840, 0.478], [0.000, 0.687, 0.850], [0.500, 0.597, 0.746], [0.000, 0.755, 0.090]], "total_magnetization_mub_per_fu": 0.0, "vol_a3_per_atom": 17.87, "e_tot_ev_per_cell": -360.110, "ef_ev_per_atom": -1.07, "crystal_system": "orthorhombic"}